Below is crystalline Rb2TlCrF6 at its relaxed geometry, with properties calculated at the PBE with a Hubbard U level.

The structure in POSCAR format:
```
Rb2TlCrF6
1.0
6.461 0.000 0.000
0.000 6.504 0.000
-6.373 0.000 9.132
Rb Tl Cr F
4 2 2 12
direct
0.241 0.034 0.249 Rb
0.241 0.466 0.749 Rb
0.759 0.534 0.251 Rb
0.759 0.966 0.751 Rb
0.500 0.000 0.000 Tl
0.500 0.500 0.500 Tl
0.000 0.000 0.500 Cr
0.000 0.500 0.000 Cr
0.124 0.244 0.456 F
0.124 0.256 0.956 F
0.206 0.676 0.964 F
0.206 0.824 0.464 F
0.281 0.024 0.707 F
0.281 0.476 0.207 F
0.719 0.524 0.793 F
0.719 0.976 0.293 F
0.794 0.176 0.536 F
0.794 0.324 0.036 F
0.876 0.744 0.044 F
0.876 0.756 0.544 F
```

Computed properties:
As for the space-group type: P2_1/c, No. 14. The value obtained for the energy is -4.9431 eV/atom. The value obtained for the magnetization is 0.30 μB/atom. The density is 4.68 g cm⁻³.

Below is crystalline RbVCr2F8 at its relaxed geometry, with properties calculated at the PBE with a Hubbard U level.

The structure in POSCAR format:
```
RbVCr2F8
1.0
5.159 0.000 0.000
0.761 5.167 0.000
0.874 0.922 7.286
Rb V Cr F
1 1 2 8
direct
0.000 0.000 0.000 Rb
0.000 0.000 0.500 V
0.460 0.463 0.243 Cr
0.540 0.537 0.757 Cr
0.196 0.778 0.316 F
0.200 0.782 0.695 F
0.268 0.240 0.448 F
0.365 0.328 0.969 F
0.635 0.672 0.031 F
0.732 0.760 0.552 F
0.800 0.218 0.305 F
0.804 0.222 0.684 F
```

Computed properties:
As for the space-group type: P-1, No. 2. The value obtained for the energy is -5.8793 eV/atom. The value obtained for the magnetization is 0.83 μB/atom. The density is 3.35 g cm⁻³.

Below is crystalline RbVCrF6 at its relaxed geometry, with properties calculated at the PBE with a Hubbard U level.

The structure in POSCAR format:
```
RbVCrF6
1.0
2.747 -4.742 0.000
2.747 4.742 0.000
-0.006 0.000 6.080
Rb V Cr F
1 1 1 6
direct
0.000 0.000 0.000 Rb
0.667 0.333 0.500 V
0.333 0.667 0.500 Cr
0.022 0.639 0.321 F
0.023 0.384 0.679 F
0.360 0.383 0.322 F
0.361 0.978 0.679 F
0.616 0.977 0.321 F
0.617 0.640 0.678 F
```

Computed properties:
As for the space-group type: C2, No. 5. The value obtained for the energy is -5.7993 eV/atom. The value obtained for the magnetization is 0.67 μB/atom. The density is 3.17 g cm⁻³.

Below is crystalline Rb3V2CrF9 at its relaxed geometry, with properties calculated at the PBE with a Hubbard U level.

The structure in POSCAR format:
```
Rb3V2CrF9
1.0
6.048 0.000 0.000
-3.024 5.238 0.000
0.000 0.000 7.404
Rb V Cr F
3 2 1 9
direct
0.000 0.000 0.000 Rb
0.333 0.667 0.667 Rb
0.667 0.333 0.333 Rb
0.333 0.667 0.167 V
0.667 0.333 0.833 V
0.000 0.000 0.500 Cr
0.000 0.500 0.000 F
0.167 0.333 0.334 F
0.167 0.833 0.334 F
0.333 0.167 0.666 F
0.500 0.000 0.000 F
0.500 0.500 0.000 F
0.667 0.833 0.334 F
0.833 0.167 0.666 F
0.833 0.667 0.666 F
```

Computed properties:
As for the space-group type: P-3m1, No. 164. The value obtained for the energy is -5.4951 eV/atom. The value obtained for the magnetization is 0.67 μB/atom. The density is 4.12 g cm⁻³.

Below is crystalline Rb2VCrF6 at its relaxed geometry, with properties calculated at the PBE with a Hubbard U level.

The structure in POSCAR format:
```
Rb2VCrF6
1.0
-2.967 2.967 4.499
2.967 -2.967 4.499
2.967 2.967 -4.499
Rb V Cr F
2 1 1 6
direct
0.250 0.750 0.500 Rb
0.750 0.250 0.500 Rb
0.000 0.000 0.000 V
0.500 0.500 0.000 Cr
0.235 0.235 0.000 F
0.256 0.256 0.512 F
0.256 0.744 0.000 F
0.744 0.256 0.000 F
0.744 0.744 0.488 F
0.765 0.765 0.000 F
```

Computed properties:
As for the space-group type: I4/mmm, No. 139. The value obtained for the energy is -5.5367 eV/atom. The value obtained for the magnetization is 0.70 μB/atom. The density is 4.07 g cm⁻³.

Below is crystalline Rb2YCrF6 at its relaxed geometry, with properties calculated at the PBE with a Hubbard U level.

The structure in POSCAR format:
```
Rb2YCrF6
1.0
-3.206 3.206 4.653
3.206 -3.206 4.653
3.206 3.206 -4.653
Rb Y Cr F
2 1 1 6
direct
0.250 0.750 0.500 Rb
0.750 0.250 0.500 Rb
0.000 0.000 0.000 Y
0.500 0.500 0.000 Cr
0.235 0.235 0.000 F
0.241 0.241 0.482 F
0.241 0.759 0.000 F
0.759 0.241 0.000 F
0.759 0.759 0.518 F
0.765 0.765 0.000 F
```

Computed properties:
As for the space-group type: I4/mmm, No. 139. The value obtained for the energy is -5.7015 eV/atom. The value obtained for the magnetization is 0.50 μB/atom. The density is 3.70 g cm⁻³.

Below is crystalline RbYCrF6 at its relaxed geometry, with properties calculated at the PBE with a Hubbard U level.

The structure in POSCAR format:
```
RbYCrF6
1.0
-4.071 4.105 5.472
4.071 -4.105 5.472
4.071 4.105 -5.472
Rb Y Cr F
2 2 2 12
direct
0.422 0.172 0.250 Rb
0.578 0.828 0.750 Rb
0.000 0.000 0.500 Y
0.000 0.500 0.000 Y
0.000 0.500 0.500 Cr
0.500 0.500 0.000 Cr
0.073 0.445 0.265 F
0.073 0.808 0.628 F
0.081 0.831 0.250 F
0.320 0.192 0.765 F
0.320 0.555 0.128 F
0.336 0.586 0.750 F
0.664 0.414 0.250 F
0.680 0.445 0.872 F
0.680 0.808 0.235 F
0.919 0.169 0.750 F
0.927 0.192 0.372 F
0.927 0.555 0.735 F
```

Computed properties:
As for the space-group type: Imma, No. 74. The value obtained for the energy is -6.1537 eV/atom. The value obtained for the magnetization is 0.44 μB/atom. The density is 3.09 g cm⁻³.

Below is crystalline Rb2Zn3CrF12 at its relaxed geometry, with properties calculated at the PBE with a Hubbard U level.

The structure in POSCAR format:
```
Rb2Zn3CrF12
1.0
3.655 2.110 6.212
-3.655 2.110 6.212
0.000 -4.221 6.212
Rb Zn Cr F
2 3 1 12
direct
0.116 0.116 0.116 Rb
0.884 0.884 0.884 Rb
0.000 0.500 0.500 Zn
0.500 0.000 0.500 Zn
0.500 0.500 0.000 Zn
0.500 0.500 0.500 Cr
0.175 0.175 0.574 F
0.175 0.574 0.175 F
0.192 0.569 0.569 F
0.426 0.825 0.825 F
0.431 0.431 0.808 F
0.431 0.808 0.431 F
0.569 0.192 0.569 F
0.569 0.569 0.192 F
0.574 0.175 0.175 F
0.808 0.431 0.431 F
0.825 0.426 0.825 F
0.825 0.825 0.426 F
```

Computed properties:
As for the space-group type: R-3m, No. 166. The value obtained for the energy is -4.4437 eV/atom. The value obtained for the magnetization is 0.14 μB/atom. The density is 3.74 g cm⁻³.